Computed, not measured: crystalline GaFe2CoO6 at its relaxed geometry at the PBE+U level of DFT.

The structure belongs to space group R3 (No. 146, hexagonal axes); the cell edges are 4.9864, 4.9864 and 13.4760 Å and the angles 90.00°, 90.00° and 120.00°. The distinct sites, in fractional coordinates, are Ga at (0.0000, 0.0000, 0.0000), Fe at (0.0000, 0.0000, 0.2041), Fe at (0.0000, 0.0000, 0.7029), Co at (0.0000, 0.0000, 0.5069), O at (0.0036, 0.2978, 0.6040) and O at (0.0053, 0.6903, 0.1036).

The calculation puts the volume at 96.7 Å³/f.u. The value obtained for the density of states at the Fermi level is 0.00 states/eV/f.u. The spin magnetization is 17.92 μB per cell. The crystal system is trigonal. Its total DFT energy (no corrections) is -6.15 eV/atom.